No. 1
Density functional theory data (GGA-PBE) for a geometry-optimized AcYSb2 structure.

Unit cell a=4.601 b=4.601 c=7.951 alpha=73.18 beta=73.18 gamma=60.00
Element x y z (fractional)
1 Sb 0.742 0.742 0.773
2 Ac 0.500 0.500 0.500
3 Y 0.000 0.000 0.000
4 Sb 0.258 0.258 0.227

Properties
Space-group type   R-3m, No. 166
Formation energy without anion corrections   -1.17 eV/atom
Uncorrected energy   -23.51 eV per cell
Offset from the most stable computed form   0.00 eV/f.u.


No. 2
Density functional theory data (GGA-PBE) for a geometry-optimized AcYSb2 structure.

Unit cell a=4.567 b=4.567 c=15.137 alpha=90.00 beta=90.00 gamma=120.00
Element x y z (fractional)
1 Sb 0.333 0.667 0.112
2 Sb 0.667 0.333 0.612
3 Sb 0.667 0.333 0.888
4 Y 0.000 0.000 0.000
5 Y 0.000 0.000 0.500
6 Ac 0.333 0.667 0.750
7 Sb 0.333 0.667 0.388
8 Ac 0.667 0.333 0.250

Properties
Space-group type   P6_3/mmc, No. 194
Formation energy without anion corrections   -1.14 eV/atom
Uncorrected energy   -46.73 eV per cell
Offset from the most stable computed form   0.14 eV/f.u.


> Number 1 is which compound?

AcYSb2